Nb2CrCdC | GGA-PBE | relaxed

Cell lengths 4.4222, 3.8504, 4.4222 Å; angles 90.00, 90.00, 90.00 degrees
Sites, in units of the cell vectors:
Cr 0.0000 0.5000 0.0000
Cd 0.5000 0.5000 0.5000
C 0.0000 0.0000 0.0000
Nb 0.5000 0.0000 0.0000
Nb 0.0000 0.0000 0.5000

As for the space-group type: P4/mmm (123). The magnetic moment is 0.00 μB/cell. The value obtained for the formation energy is 14 meV per atom.